Record 1
Below is a relaxed PmSm2TlO crystal, with properties calculated at the PBE level.

For the energy relative to the elements, uncorrected, the calculation gives -1.36 eV/atom. The electronic total energy is -28.3 eV for the cell shown.

CIF file:
```
data_PmSm2TlO
_chemical_formula_sum 'Pm1 Sm2 Tl1 O1'
_cell_length_a 4.913
_cell_length_b 4.913
_cell_length_c 4.946
_cell_angle_alpha 90.00
_cell_angle_beta 90.00
_cell_angle_gamma 90.00
_space_group_name_H-M_alt 'P 4/m m m'
_space_group_IT_number 123
_space_group_name_Hall '-P 4 2'
loop_
_atom_site_label
_atom_site_fract_x
_atom_site_fract_y
_atom_site_fract_z
Pm1 0.000 0.000 0.000
Sm1 0.000 0.500 0.500
Tl1 0.500 0.500 0.000
O1 0.000 0.000 0.500
```

=====

Record 2
Below is a relaxed PbAuBr2 crystal, with properties calculated at the PBE level.

For the energy relative to the elements, uncorrected, the calculation gives -0.27 eV/atom. The energy above the most stable polymorph in this dataset comes out at 0.0842 eV/atom. The electronic total energy is -22.8 eV for the cell shown.

CIF file:
```
data_PbAuBr2
_chemical_formula_sum 'Pb2 Au2 Br4'
_cell_length_a 14.010
_cell_length_b 4.522
_cell_length_c 4.299
_cell_angle_alpha 90.00
_cell_angle_beta 93.37
_cell_angle_gamma 90.00
_space_group_name_H-M_alt 'C 1 2/m 1'
_space_group_IT_number 12
_space_group_name_Hall '-C 2y'
loop_
_atom_site_label
_atom_site_fract_x
_atom_site_fract_y
_atom_site_fract_z
Pb1 0.000 0.000 0.000
Au1 0.000 0.500 0.500
Br1 0.154 0.500 0.194
```

=====

Record 3
Below is a relaxed Pm4SmTl4 crystal, with properties calculated at the PBE level.

The electronic total energy is -69.9 eV for the cell shown. The formation enthalpy at 0 K comes out at -18.8 kJ per mole of atoms.

CIF file:
```
data_Pm4SmTl4
_chemical_formula_sum 'Pm8 Sm2 Tl8'
_cell_length_a 9.383
_cell_length_b 9.383
_cell_length_c 6.231
_cell_angle_alpha 90.00
_cell_angle_beta 90.00
_cell_angle_gamma 90.00
_space_group_name_H-M_alt 'P 42/n'
_space_group_IT_number 86
loop_
_space_group_symop_operation_xyz
'x,y,z'
'-x,-y,-z'
'-y,x+1/2,z+1/2'
'y,-x+1/2,-z+1/2'
'-x+1/2,-y+1/2,z'
'x+1/2,y+1/2,-z'
'y+1/2,-x,z+1/2'
'-y+1/2,x,-z+1/2'
loop_
_atom_site_label
_atom_site_fract_x
_atom_site_fract_y
_atom_site_fract_z
Pm1 0.083 0.825 0.124
Sm1 0.250 0.250 0.750
Tl1 0.042 0.148 0.365
```

=====

no.,theoretical density (g/cm3)
1,9.27
2,6.89
3,9.37